! Tl4HgBr2F2 GGA-PBE optimized geometry; values from VASP
! SG   C2/m
! Total magnetization   0.00 μB per formula unit
! E_tot   -3.00 eV per atom
! Uncorrected formation energy   -1.128 eV/atom
&SYSTEM
  ibrav = 0, nat = 9, ntyp = 4
/
ATOMIC_SPECIES
Tl 204.38 Tl.upf
Hg 200.59 Hg.upf
Br 79.90 Br.upf
F 19.00 F.upf
ATOMIC_POSITIONS angstrom
Tl 0.5443 0.0000 1.6972
Tl 4.4355 0.0000 2.2480
Tl 11.9254 0.0000 5.1217
Tl 15.8166 0.0000 5.6725
Hg 8.1804 0.0000 3.6848
Br 4.5135 0.0000 7.0022
Br 11.8474 0.0000 0.3675
F 2.1744 0.0000 3.5440
F 14.1865 0.0000 3.8257
CELL_PARAMETERS angstrom
9.5282 -2.1803 0.0000
9.5282 2.1803 0.0000
-2.6955 0.0000 7.3697